[1]
{"formula": "Tb2Al2Zn15", "functional": "GGA-PBE", "state": "relaxed", "energy_ev_per_atom": -2.117, "spacegroup": "R-3m, No. 166", "rho_g_cm3": 7.3, "magmom_total_mub_per_fu": 0.00, "lattice": [[4.515, 2.607, 4.371], [-4.515, 2.607, 4.371], [0.000, -5.214, 4.371]], "species": ["Tb", "Tb", "Al", "Al", "Zn", "Zn", "Zn", "Zn", "Zn", "Zn", "Zn", "Zn", "Zn", "Zn", "Zn", "Zn", "Zn", "Zn", "Zn"], "fractional_positions": [[0.164, 0.164, 0.164], [0.836, 0.836, 0.836], [0.400, 0.400, 0.400], [0.600, 0.600, 0.600], [0.000, 0.500, 0.500], [0.148, 0.148, 0.664], [0.148, 0.664, 0.148], [0.199, 0.500, 0.801], [0.199, 0.801, 0.500], [0.336, 0.852, 0.852], [0.500, 0.000, 0.500], [0.500, 0.199, 0.801], [0.500, 0.500, 0.000], [0.500, 0.801, 0.199], [0.664, 0.148, 0.148], [0.801, 0.199, 0.500], [0.801, 0.500, 0.199], [0.852, 0.336, 0.852], [0.852, 0.852, 0.336]]}

[2]
{"formula": "MgCl2", "functional": "GGA-PBE", "state": "relaxed", "energy_ev_per_atom": -3.481, "spacegroup": "Pmma, No. 51", "rho_g_cm3": 2.0, "magmom_total_mub_per_fu": 0.00, "lattice": [[6.313, 0.000, 0.000], [0.000, 3.662, 0.000], [0.000, 0.000, 6.733]], "species": ["Mg", "Mg", "Cl", "Cl", "Cl", "Cl"], "fractional_positions": [[0.000, 0.000, 0.000], [0.500, 0.000, 0.000], [0.250, 0.000, 0.264], [0.250, 0.500, 0.834], [0.750, 0.000, 0.736], [0.750, 0.500, 0.166]]}

[3]
{"formula": "Pm2BeSiPd6", "functional": "GGA-PBE", "state": "relaxed", "energy_ev_per_atom": -5.682, "spacegroup": "P-1, No. 2", "rho_g_cm3": 8.8, "magmom_total_mub_per_fu": 0.00, "lattice": [[5.812, 0.000, 0.000], [2.885, 5.180, 0.000], [2.865, 1.488, 6.059]], "species": ["Pm", "Pm", "Be", "Si", "Pd", "Pd", "Pd", "Pd", "Pd", "Pd"], "fractional_positions": [[0.225, 0.240, 0.318], [0.775, 0.760, 0.682], [0.000, 0.000, 0.000], [0.500, 0.500, 0.500], [0.240, 0.687, 0.823], [0.248, 0.229, 0.781], [0.272, 0.772, 0.210], [0.728, 0.228, 0.790], [0.752, 0.771, 0.219], [0.760, 0.313, 0.177]]}

[4]
{"formula": "AsBrCl2", "functional": "GGA-PBE", "state": "relaxed", "energy_ev_per_atom": -2.535, "spacegroup": "R3m, No. 160", "rho_g_cm3": 3.7, "magmom_total_mub_per_fu": 0.00, "lattice": [[1.968, 1.136, 7.570], [-1.968, 1.136, 7.570], [0.000, -2.273, 7.570]], "species": ["As", "Br", "Cl", "Cl"], "fractional_positions": [[0.000, 0.000, 0.000], [0.266, 0.266, 0.266], [0.515, 0.515, 0.515], [0.730, 0.730, 0.730]]}

[5]
{"formula": "TaAg3Mo", "functional": "GGA-PBE", "state": "relaxed", "energy_ev_per_atom": -4.078, "spacegroup": "Pm-3m, No. 221", "rho_g_cm3": 8.6, "magmom_total_mub_per_fu": 0.00, "lattice": [[4.886, 0.000, 0.000], [0.000, 4.886, 0.000], [0.000, 0.000, 4.886]], "species": ["Ta", "Ag", "Ag", "Ag", "Mo"], "fractional_positions": [[0.000, 0.000, 0.000], [0.000, 0.500, 0.500], [0.500, 0.000, 0.500], [0.500, 0.500, 0.000], [0.500, 0.500, 0.500]]}

[6]
{"formula": "LaCd2Au", "functional": "GGA-PBE", "state": "relaxed", "energy_ev_per_atom": -2.878, "spacegroup": "P4mm, No. 99", "rho_g_cm3": 9.2, "magmom_total_mub_per_fu": 0.00, "lattice": [[3.769, 0.000, 0.000], [0.000, 3.769, 0.000], [0.000, 0.000, 7.097]], "species": ["La", "Cd", "Cd", "Au"], "fractional_positions": [[0.000, 0.000, 0.000], [0.000, 0.000, 0.474], [0.500, 0.500, 0.687], [0.500, 0.500, 0.237]]}